#P
Compound: HoTh2Pd2
Source: the Alexandria database
Functional: GGA-PBE
Structure: relaxed

Crystal system   tetragonal

Cell: 3.885 8.082 8.082 Å, 90.00 90.00 90.00°
Atoms (fractional coordinates):
1 Ho 0.000 0.000 0.000
2 Ho 0.000 0.500 0.500
3 Th 0.500 0.173 0.673
4 Th 0.500 0.673 0.827
5 Th 0.500 0.827 0.327
6 Th 0.500 0.327 0.173
7 Pd 0.000 0.372 0.872
8 Pd 0.000 0.872 0.628
9 Pd 0.000 0.628 0.128
10 Pd 0.000 0.128 0.372

#Q
Compound: HoTh2Pd2
Source: the Alexandria database
Functional: GGA-PBE
Structure: relaxed

Crystal system   orthorhombic

Cell: 6.281 6.281 6.836 Å, 122.97 122.97 102.64°
Atoms (fractional coordinates):
1 Ho 0.000 0.000 0.000
2 Th 0.198 0.802 0.500
3 Th 0.802 0.198 0.500
4 Pd 0.500 0.500 0.202
5 Pd 0.500 0.500 0.798

Question: which arrangement is favored energetically? Ranking from most to least stable: #P, #Q.

#P
Compound: Ho2ThPd
Source: the Alexandria database
Functional: GGA-PBE
Structure: relaxed

Crystal system   trigonal

Cell: 3.622 3.622 9.973 Å, 79.54 79.54 60.00°
Atoms (fractional coordinates):
1 Pd 0.000 0.000 0.000
2 Ho 0.734 0.734 0.799
3 Ho 0.266 0.266 0.201
4 Th 0.500 0.500 0.500

#Q
Compound: Ho2ThPd
Source: the Alexandria database
Functional: GGA-PBE
Structure: relaxed

Crystal system   tetragonal

Cell: 3.555 3.555 8.330 Å, 90.00 90.00 90.00°
Atoms (fractional coordinates):
1 Pd 0.500 0.500 0.000
2 Ho 0.000 0.000 0.798
3 Ho 0.000 0.000 0.202
4 Th 0.500 0.500 0.500

Question: which arrangement is favored energetically? Ranking from most to least stable: #Q, #P.

#P
Compound: HoTiPd2
Source: the Alexandria database
Functional: GGA-PBE
Structure: relaxed

Crystal system   tetragonal

Cell: 3.242 4.787 4.787 Å, 90.00 90.00 90.00°
Atoms (fractional coordinates):
1 Ho 0.500 0.500 0.500
2 Pd 0.000 0.000 0.500
3 Pd 0.000 0.500 0.000
4 Ti 0.500 0.000 0.000

#Q
Compound: HoTiPd2
Source: the Alexandria database
Functional: GGA-PBE
Structure: relaxed

Crystal system   tetragonal

Cell: 3.238 3.238 7.064 Å, 90.00 90.00 90.00°
Atoms (fractional coordinates):
1 Ho 0.500 0.500 0.500
2 Pd 0.000 0.000 0.792
3 Pd 0.000 0.000 0.208
4 Ti 0.500 0.500 0.000

Question: which arrangement is favored energetically? Ranking from most to least stable: #Q, #P.

#P
Compound: Ho3Tl2Pd
Source: the Alexandria database
Functional: GGA-PBE
Structure: relaxed

Crystal system   monoclinic

Cell: 7.801 6.737 7.887 Å, 84.14 79.84 54.62°
Atoms (fractional coordinates):
1 Ho 0.450 0.652 0.766
2 Ho 0.324 0.000 0.174
3 Ho 0.550 0.348 0.234
4 Ho 0.898 0.652 0.234
5 Ho 0.102 0.348 0.766
6 Ho 0.676 0.000 0.826
7 Tl 0.000 0.000 0.000
8 Tl 0.500 0.000 0.500
9 Tl 0.140 0.721 0.500
10 Tl 0.860 0.279 0.500
11 Pd 0.714 0.572 0.000
12 Pd 0.286 0.428 0.000

#Q
Compound: Ho3Tl2Pd
Source: the Alexandria database
Functional: GGA-PBE
Structure: relaxed

Crystal system   tetragonal

Cell: 3.572 3.572 11.809 Å, 90.00 90.00 90.00°
Atoms (fractional coordinates):
1 Ho 0.000 0.000 0.000
2 Ho 0.000 0.000 0.642
3 Ho 0.000 0.000 0.358
4 Tl 0.500 0.500 0.823
5 Tl 0.500 0.500 0.177
6 Pd 0.500 0.500 0.500

Question: which arrangement is favored energetically? Ranking from most to least stable: #Q, #P.

#P
Compound: Ho12TlPd6
Source: the Alexandria database
Functional: GGA-PBE
Structure: relaxed

Crystal system   cubic

Cell: 8.585 8.585 8.585 Å, 109.47 109.47 109.47°
Atoms (fractional coordinates):
1 Ho 0.297 0.113 0.816
2 Ho 0.297 0.480 0.184
3 Ho 0.703 0.520 0.816
4 Ho 0.703 0.887 0.184
5 Ho 0.113 0.816 0.297
6 Ho 0.480 0.184 0.297
7 Ho 0.520 0.816 0.703
8 Ho 0.887 0.184 0.703
9 Ho 0.816 0.297 0.113
10 Ho 0.184 0.297 0.480
11 Ho 0.816 0.703 0.520
12 Ho 0.184 0.703 0.887
13 Tl 0.000 0.000 0.000
14 Pd 0.363 0.500 0.863
15 Pd 0.637 0.500 0.137
16 Pd 0.500 0.863 0.363
17 Pd 0.500 0.137 0.637
18 Pd 0.863 0.363 0.500
19 Pd 0.137 0.637 0.500

#Q
Compound: Ho12TlPd6
Source: the Alexandria database
Functional: GGA-PBE
Structure: relaxed

Crystal system   trigonal

Cell: 8.655 8.655 8.655 Å, 108.75 108.75 108.75°
Atoms (fractional coordinates):
1 Ho 0.852 0.616 0.554
2 Ho 0.554 0.852 0.616
3 Ho 0.616 0.554 0.852
4 Ho 0.148 0.384 0.446
5 Ho 0.446 0.148 0.384
6 Ho 0.384 0.446 0.148
7 Ho 0.033 0.860 0.326
8 Ho 0.140 0.674 0.967
9 Ho 0.674 0.967 0.140
10 Ho 0.967 0.140 0.674
11 Ho 0.860 0.326 0.033
12 Ho 0.326 0.033 0.860
13 Tl 0.000 0.000 0.000
14 Pd 0.709 0.782 0.353
15 Pd 0.647 0.291 0.218
16 Pd 0.218 0.647 0.291
17 Pd 0.291 0.218 0.647
18 Pd 0.353 0.709 0.782
19 Pd 0.782 0.353 0.709

Question: which arrangement is favored energetically? Ranking from most to least stable: #P, #Q.

#P
Compound: HoTlPd6
Source: the Alexandria database
Functional: GGA-PBE
Structure: relaxed

Crystal system   trigonal

Cell: 5.490 5.490 5.490 Å, 84.37 84.37 84.37°
Atoms (fractional coordinates):
1 Ho 0.000 0.000 0.000
2 Tl 0.500 0.500 0.500
3 Pd 0.160 0.532 0.160
4 Pd 0.160 0.160 0.532
5 Pd 0.840 0.468 0.840
6 Pd 0.468 0.840 0.840
7 Pd 0.840 0.840 0.468
8 Pd 0.532 0.160 0.160

#Q
Compound: HoTlPd6
Source: the Alexandria database
Functional: GGA-PBE
Structure: relaxed

Crystal system   tetragonal

Cell: 4.092 4.092 8.241 Å, 90.00 90.00 90.00°
Atoms (fractional coordinates):
1 Ho 0.000 0.000 0.000
2 Tl 0.000 0.000 0.500
3 Pd 0.500 0.500 0.000
4 Pd 0.500 0.500 0.500
5 Pd 0.500 0.000 0.251
6 Pd 0.500 0.000 0.749
7 Pd 0.000 0.500 0.251
8 Pd 0.000 0.500 0.749

Question: which arrangement is favored energetically? Ranking from most to least stable: #Q, #P.